Na2GaGe4Pt3 | PBE-GGA | relaxed

abc: 4.327 4.327 10.436
angles: 90.00 90.00 90.00
Space group P-4m2 (No. 115)
One atom of each set of equivalent atoms:
Na (0.000, 0.500, 0.248) [2 per cell]
Ga (0.000, 0.000, 0.500) [1 per cell]
Ge (0.000, 0.000, 0.000) [1 per cell]
Ge (0.000, 0.500, 0.638) [2 per cell]
Ge (0.500, 0.500, 0.000) [1 per cell]
Pt (0.000, 0.500, 0.875) [2 per cell]
Pt (0.500, 0.500, 0.500) [1 per cell]

Summary:
E_form: -374.7 meV per atom